No. 1
Here is a relaxed Dy2Be3CuGe4 crystal from the Alexandria database. Energies are from PBE-GGA.

Unit cell a=4.058 b=4.058 c=9.688 alpha=90.00 beta=90.00 gamma=90.00
Positions (direct):
Ge: 0.500 0.500 0.000
Ge: 0.000 0.500 0.360
Ge: 0.500 0.000 0.640
Ge: 0.000 0.000 0.000
Dy: 0.500 0.000 0.248
Dy: 0.000 0.500 0.752
Be: 0.000 0.500 0.128
Be: 0.500 0.000 0.872
Be: 0.000 0.000 0.500
Cu: 0.500 0.500 0.500

Space group: No. 115
V in Å³/atom: 15.95
ρ in g cm⁻³: 7.35
Formation energy in kJ/mol of formula units: -359
Total energy in Ha/atom: -0.1715


No. 2
Here is a relaxed Dy2BeCu3Ge4 crystal from the Alexandria database. Energies are from PBE-GGA.

Unit cell a=4.021 b=4.021 c=10.364 alpha=90.00 beta=90.00 gamma=90.00
Positions (direct):
Ge: 0.500 0.500 0.000
Ge: 0.000 0.000 0.000
Ge: 0.500 0.000 0.631
Ge: 0.000 0.500 0.369
Dy: 0.500 0.000 0.257
Dy: 0.000 0.500 0.743
Be: 0.500 0.500 0.500
Cu: 0.000 0.500 0.141
Cu: 0.000 0.000 0.500
Cu: 0.500 0.000 0.859

Space group: No. 115
V in Å³/atom: 16.76
ρ in g cm⁻³: 8.08
Formation energy in kJ/mol of formula units: -431
Total energy in Ha/atom: -0.1769